1.
Computed, not measured: a relaxed Re2IrW crystal at the PBE level of DFT.

Geometry as POSCAR:
```
Re2IrW
1.0
2.776 0.002 0.000
-0.002 2.776 0.000
0.000 0.000 7.863
W Re Ir
1 2 1
direct
0.000 0.000 0.501
0.000 0.000 0.004
0.500 0.500 0.243
0.500 0.500 0.751
```

Excess energy over the best structure of this formula in the dataset in eV/atom: 0.055
Density of states at the Fermi level in states/eV/cell: 2.31
Energy in eV per formula unit: -46.876
E_form in eV/f.u.: -0.2


2.
Computed, not measured: a relaxed SrTl2Re crystal at the PBE level of DFT.

Geometry as POSCAR:
```
SrTl2Re
1.0
-3.673 -1.757 3.417
1.236 -0.651 5.128
-2.015 3.287 3.658
Tl Sr Re
2 1 1
direct
0.250 0.250 0.250
0.000 0.000 0.000
0.750 0.750 0.750
0.500 0.500 0.500
```

Excess energy over the best structure of this formula in the dataset in eV/atom: 0.361
Density of states at the Fermi level in states/eV/cell: 4.46
Energy in eV per formula unit: -15.137
E_form in eV/f.u.: 3.7


Question: Number 1 is which compound?
Answer: Re2IrW


Question: What is the excess energy over the best structure of this formula in the dataset in the first record?
Answer: 0.055 eV/atom


Question: What is the energy in the first record?
Answer: -46.876 eV per formula unit


Question: Among the records above, which one has the lowest energy?
Answer: Re2IrW